(1)
# PBE-GGA Sr2NdZn4, relaxed
data_Sr2NdZn4
_space_group_name_H-M_alt 'I m m m'
_space_group_IT_number 71
_space_group_name_Hall '-I 2 2'
_cell_length_a 3.9910
_cell_length_b 4.5198
_cell_length_c 21.3498
_cell_angle_alpha 90.00
_cell_angle_beta 90.00
_cell_angle_gamma 90.00
loop_
_atom_site_label
_atom_site_type_symbol
_atom_site_fract_x
_atom_site_fract_y
_atom_site_fract_z
_atom_site_occupancy
Sr1 Sr 0.0000 0.0000 0.1830 1
Nd1 Nd 0.0000 0.5000 0.0000 1
Zn1 Zn 0.0000 0.0000 0.3780 1
Zn2 Zn 0.0000 0.5000 0.4404 1
# DFT total energy = -0.0779 hartree per atom
# E_form = -0.231 eV per atom
# N(E_F) = 13.7 states/eV/cell
# theoretical density = 5.0 g/cm³

(2)
# PBE-GGA SrNd5Zn4, relaxed
data_SrNd5Zn4
_space_group_name_H-M_alt 'P 4/m m m'
_space_group_IT_number 123
_space_group_name_Hall '-P 4 2'
_cell_length_a 3.7525
_cell_length_b 3.7525
_cell_length_c 20.2587
_cell_angle_alpha 90.00
_cell_angle_beta 90.00
_cell_angle_gamma 90.00
loop_
_atom_site_label
_atom_site_type_symbol
_atom_site_fract_x
_atom_site_fract_y
_atom_site_fract_z
_atom_site_occupancy
Sr1 Sr 0.0000 0.0000 0.0000 1
Nd1 Nd 0.5000 0.5000 0.1496 1
Nd2 Nd 0.5000 0.5000 0.3231 1
Nd3 Nd 0.5000 0.5000 0.5000 1
Zn1 Zn 0.0000 0.0000 0.2328 1
Zn2 Zn 0.0000 0.0000 0.4117 1
# DFT total energy = -0.1201 hartree per atom
# E_form = -0.207 eV per atom
# N(E_F) = 15.5 states/eV/cell
# theoretical density = 6.2 g/cm³

- Number 2 is which compound?
  SrNd5Zn4

- Look up the N(E_F) of the first one.
  13.7 states/eV/cell

Copy entry 2 word for word.
# PBE-GGA SrNd5Zn4, relaxed
data_SrNd5Zn4
_space_group_name_H-M_alt 'P 4/m m m'
_space_group_IT_number 123
_space_group_name_Hall '-P 4 2'
_cell_length_a 3.7525
_cell_length_b 3.7525
_cell_length_c 20.2587
_cell_angle_alpha 90.00
_cell_angle_beta 90.00
_cell_angle_gamma 90.00
loop_
_atom_site_label
_atom_site_type_symbol
_atom_site_fract_x
_atom_site_fract_y
_atom_site_fract_z
_atom_site_occupancy
Sr1 Sr 0.0000 0.0000 0.0000 1
Nd1 Nd 0.5000 0.5000 0.1496 1
Nd2 Nd 0.5000 0.5000 0.3231 1
Nd3 Nd 0.5000 0.5000 0.5000 1
Zn1 Zn 0.0000 0.0000 0.2328 1
Zn2 Zn 0.0000 0.0000 0.4117 1
# DFT total energy = -0.1201 hartree per atom
# E_form = -0.207 eV per atom
# N(E_F) = 15.5 states/eV/cell
# theoretical density = 6.2 g/cm³